Record 1
Ca2Fe2C2N | Alexandria | GGA-PBE | optimized geometry; VASP energy = -49.54 eV/cell; calculated volume = 12.49 Å³ per atom; energy relative to the elements, uncorrected = -0.26 eV per atom
1.0
5.084 -1.672 0.000
5.084 1.672 0.000
-3.447 0.000 5.145
Ca Fe C N
2 2 2 1
Direct
0.068 0.068 0.332 Ca
0.932 0.932 0.668 Ca
0.304 0.304 0.923 Fe
0.696 0.696 0.077 Fe
0.300 0.300 0.233 C
0.700 0.700 0.767 C
0.500 0.500 0.000 N


Record 2
Ca3FeC2N6 | Alexandria | GGA-PBE | optimized geometry; VASP energy = -87.45 eV/cell; calculated volume = 11.77 Å³ per atom; energy relative to the elements, uncorrected = -0.38 eV per atom
1.0
5.197 0.000 0.000
-2.598 4.500 0.000
0.000 0.000 6.039
Ca Fe C N
3 1 2 6
Direct
0.000 0.000 0.000 Ca
0.333 0.667 0.701 Ca
0.667 0.333 0.299 Ca
0.000 0.000 0.500 Fe
0.333 0.667 0.290 C
0.667 0.333 0.710 C
0.181 0.363 0.286 N
0.181 0.819 0.286 N
0.363 0.181 0.714 N
0.637 0.819 0.286 N
0.819 0.181 0.714 N
0.819 0.637 0.714 N


Record 3
NaCaFeC | Alexandria | GGA-PBE | optimized geometry; DFT formation energy = 152 meV/atom; VASP energy = -40.80 eV/cell; calculated volume = 18.39 Å³ per atom
1.0
3.606 0.000 0.000
0.000 3.606 0.000
0.000 0.000 11.315
Na Ca Fe C
2 2 2 2
Direct
0.250 0.750 0.000 Na
0.750 0.250 0.000 Na
0.250 0.250 0.298 Ca
0.750 0.750 0.702 Ca
0.250 0.750 0.500 Fe
0.750 0.250 0.500 Fe
0.250 0.250 0.568 C
0.750 0.750 0.432 C


Record 4
NaCaFe2C | Alexandria | GGA-PBE | optimized geometry; DFT formation energy = 2789 meV/atom; VASP energy = -15.53 eV/cell; calculated volume = 25.44 Å³ per atom
1.0
4.804 0.000 0.000
0.000 4.804 0.000
0.000 0.000 5.512
Na Ca Fe C
1 1 2 1
Direct
0.000 0.000 0.000 Na
0.000 0.000 0.500 Ca
0.000 0.500 0.500 Fe
0.500 0.000 0.500 Fe
0.500 0.500 0.000 C


Record 5
CaFeNi2C | Alexandria | GGA-PBE | optimized geometry; DFT formation energy = 70 meV/atom; VASP energy = -30.90 eV/cell; calculated volume = 12.15 Å³ per atom
1.0
3.975 0.000 0.000
0.000 3.975 0.000
0.000 0.000 3.846
Ca Fe Ni C
1 1 2 1
Direct
0.000 0.000 0.000 Ca
0.500 0.500 0.000 Fe
0.000 0.500 0.500 Ni
0.500 0.000 0.500 Ni
0.500 0.500 0.500 C